The following is a PBE-GGA calculation of a relaxed CoAsRu crystal, from Alexandria via LeMat-Bulk.

Cell: 2.9880 2.9880 9.0174 Å, 90.00 90.00 90.00°
Space group I4mm (No. 107)
Asymmetric unit:
Co  0.0000  0.0000  0.0000 (multiplicity 2)
As  0.0000  0.0000  0.6517 (multiplicity 2)
Ru  0.0000  0.0000  0.3114 (multiplicity 2)

V	13.4	A^3/atom
electronic total energy	-6.912	eV/atom
formation enthalpy at 0 K	0.099	eV per atom
DOS(E_F)	5.07	states/eV/cell
excess energy over the best structure of this formula in the dataset	204	meV per atom
spin magnetization	3.8	μB/cell